1.
Computed, not measured: a relaxed structure of Li3AlN at the PBE level of DFT.

Cell lengths 4.013, 4.013, 4.013 Å; angles 90.00, 90.00, 90.00 degrees
Sites, in units of the cell vectors:
1 Li 0.000 0.000 0.500
2 Li 0.000 0.500 0.000
3 Li 0.500 0.000 0.000
4 Al 0.500 0.500 0.500
5 N 0.000 0.000 0.000

Total magnetic moment ... 0.00 μB/f.u.
E ... -17.85 eV/cell
N(E_F) ... 2.696 states/eV/f.u.

2.
Computed, not measured: a relaxed structure of Li2NiAg at the PBE level of DFT.

Cell lengths 2.714, 4.230, 4.951 Å; angles 90.00, 97.81, 90.00 degrees
Sites, in units of the cell vectors:
1 Li 0.223 0.000 0.266
2 Li 0.777 0.000 0.734
3 Ni 0.000 0.500 0.500
4 Ag 0.500 0.500 0.000

Total magnetic moment ... 0.00 μB/f.u.
E ... -12.47 eV/cell
Energy relative to the elements ... -0.0036 eV/atom
N(E_F) ... 1.814 states/eV/f.u.

3.
Computed, not measured: a relaxed structure of TcIr3N at the PBE level of DFT.

Cell lengths 4.077, 4.077, 4.077 Å; angles 90.00, 90.00, 90.00 degrees
Sites, in units of the cell vectors:
1 Tc 0.000 0.000 0.000
2 Ir 0.000 0.500 0.500
3 Ir 0.500 0.000 0.500
4 Ir 0.500 0.500 0.000
5 N 0.500 0.500 0.500

Total magnetic moment ... 0.00 μB/f.u.
E ... -41.25 eV/cell
N(E_F) ... 11.825 states/eV/f.u.

4.
Computed, not measured: a relaxed structure of Na2TlSeO4 at the PBE level of DFT.

Cell lengths 5.676, 5.676, 5.676 Å; angles 108.81, 108.81, 110.80 degrees
Sites, in units of the cell vectors:
1 Na 0.000 0.000 0.000
2 Na 0.750 0.250 0.500
3 Tl 0.500 0.500 0.000
4 Se 0.250 0.750 0.500
5 O 0.203 0.754 0.801
6 O 0.246 0.048 0.449
7 O 0.599 0.797 0.551
8 O 0.952 0.401 0.199

Total magnetic moment ... 1.01 μB/f.u.
E ... -35.98 eV/cell
N(E_F) ... 0.654 states/eV/f.u.